(1)
Compound: Nd5Dy4Er
Source: Alexandria
Functional: PBE
Structure: optimized geometry

```
Nd5Dy4Er
1.0
-2.8414 1.8810 -1.1633
-1.8328 -7.2979 -7.3238
-4.0938 -6.1028 5.7038
Nd Dy Er
5 4 1
Direct
0.1892 0.4022 0.3784
0.8581 0.2290 0.7162
0.8108 0.5978 0.6216
0.5000 0.5000 0.0000
0.1419 0.7710 0.2838
0.3178 0.9137 0.6355
0.6822 0.0863 0.3645
0.0453 0.2363 0.0905
0.9547 0.7637 0.9095
0.5000 0.0000 0.0000
```

The space group is C2/m, No. 12. Its energy above the lowest structure with this stoichiometry is 125 meV per atom.

---

(2)
Compound: Nd2Dy3Er4
Source: Alexandria
Functional: PBE
Structure: optimized geometry

```
Nd2Dy3Er4
1.0
-0.8401 -3.0471 5.2397
5.9448 -9.4046 1.6068
8.2977 0.2196 7.5809
Er Nd Dy
8 4 6
Direct
0.9235 0.1863 0.9060
0.4235 0.9060 0.1863
0.0847 0.1448 0.4218
0.5847 0.4218 0.1448
0.0765 0.8137 0.0940
0.4153 0.5782 0.8552
0.5765 0.0940 0.8137
0.9153 0.8552 0.5782
0.9245 0.5209 0.2320
0.0755 0.4791 0.7680
0.4245 0.2320 0.5209
0.5755 0.7680 0.4791
0.7703 0.0669 0.2617
0.2500 0.5977 0.4023
0.2297 0.9331 0.7383
0.7297 0.7383 0.9331
0.7500 0.4023 0.5977
0.2703 0.2617 0.0669
```

The space group is C2/c, No. 15.

---

Across the entries above, formation enthalpy at 0 K takes the values 0.143; 0.096 eV/atom, respectively.
Across the entries above, magnetic moment takes the values 0.00; 0.00 μB/atom, respectively.
Across the entries above, E takes the values -4.5383; -4.5253 eV/atom, respectively.